! CoPt6Rh8 GGA-PBE optimized geometry; values from VASP
! calculated total energy: -6.510 eV/atom
! SG: R-3
! excess energy over the best structure of this formula in the dataset: 0.016 eV per atom
&SYSTEM
  ibrav = 0, nat = 15, ntyp = 3
/
ATOMIC_SPECIES
Co 58.93 Co.upf
Pt 195.08 Pt.upf
Rh 102.91 Rh.upf
CELL_PARAMETERS angstrom
3.607 2.083 5.390
-3.607 2.083 5.390
0.000 -4.165 5.390
ATOMIC_POSITIONS crystal
Co 0.000 0.000 0.000
Pt 0.087 0.686 0.361
Pt 0.314 0.639 0.913
Pt 0.361 0.087 0.686
Pt 0.639 0.913 0.314
Pt 0.686 0.361 0.087
Pt 0.913 0.314 0.639
Rh 0.114 0.466 0.802
Rh 0.198 0.886 0.534
Rh 0.283 0.283 0.283
Rh 0.466 0.802 0.114
Rh 0.534 0.198 0.886
Rh 0.717 0.717 0.717
Rh 0.802 0.114 0.466
Rh 0.886 0.534 0.198